No. 1
Computed, not measured: CaYNpO6 after structural relaxation at the PBE level of DFT.

Calculated values
raw total energy	-8.638	eV/atom
energy relative to the elements, uncorrected	-2.95	eV/atom

Cell lengths 5.729, 5.729, 9.389 Å; angles 90.00, 90.00, 120.00 degrees
Atoms (fractional coordinates):
O 0.679 0.041 0.367
O 0.363 0.041 0.133
O 0.959 0.321 0.133
O 0.363 0.321 0.367
O 0.321 0.363 0.867
O 0.041 0.679 0.867
O 0.321 0.959 0.633
O 0.637 0.959 0.867
O 0.959 0.637 0.367
O 0.679 0.637 0.133
O 0.637 0.679 0.633
O 0.041 0.363 0.633
Y 0.000 0.000 0.500
Y 0.000 0.000 0.000
Ca 0.667 0.333 0.750
Ca 0.333 0.667 0.250
Np 0.667 0.333 0.250
Np 0.333 0.667 0.750

=====

No. 2
Computed, not measured: Ca2YNpO6 after structural relaxation at the PBE level of DFT.

Calculated values
raw total energy	-8.461	eV/atom
energy relative to the elements, uncorrected	-3.15	eV/atom

Cell lengths 5.852, 5.852, 6.059 Å; angles 61.12, 61.12, 60.00 degrees
Site moments in Bohr magnetons follow the coordinates.
Atoms (fractional coordinates):
Np 0.317 0.317 0.048  2.20
Ca 0.535 0.535 0.396  0.00
Ca 0.030 0.030 0.909  0.00
O 0.439 0.678 0.773  -0.04
O 0.190 0.958 0.259  -0.04
O 0.592 0.190 0.259  -0.04
O 0.110 0.439 0.773  -0.04
O 0.678 0.110 0.773  -0.04
O 0.958 0.592 0.259  -0.04
Y 0.812 0.812 0.564  0.00

=====

No. 3
Computed, not measured: CaY2NpO8 after structural relaxation at the PBE level of DFT.

Calculated values
raw total energy	-8.517	eV/atom
energy relative to the elements, uncorrected	-2.89	eV/atom

Cell lengths 3.985, 5.244, 7.559 Å; angles 90.00, 90.00, 93.31 degrees
Site moments in Bohr magnetons follow the coordinates.
Atoms (fractional coordinates):
O 0.534 0.770 0.000  0.00
O 0.466 0.230 0.000  0.00
O 0.023 0.759 0.787  0.00
O 0.023 0.759 0.213  0.00
O 0.500 0.263 0.500  0.12
O 0.500 0.737 0.500  0.12
O 0.977 0.241 0.213  0.00
O 0.977 0.241 0.787  0.00
Y 0.500 0.500 0.246  0.00
Y 0.500 0.500 0.754  0.00
Ca 0.000 0.000 0.500  0.00
Np 0.000 0.000 0.000  0.00

=====

No. 4
Computed, not measured: CaNpZn2O8 after structural relaxation at the PBE level of DFT.

Calculated values
raw total energy	-6.345	eV/atom
energy relative to the elements, uncorrected	-1.58	eV/atom

Cell lengths 5.980, 5.980, 5.980 Å; angles 111.16, 111.16, 106.15 degrees
Site moments in Bohr magnetons follow the coordinates.
Atoms (fractional coordinates):
O 0.555 0.716 0.839  0.54
O 0.284 0.123 0.839  0.54
O 0.345 0.051 0.294  0.12
O 0.949 0.244 0.294  0.12
O 0.949 0.655 0.706  0.12
O 0.756 0.051 0.706  0.12
O 0.284 0.445 0.161  0.54
O 0.877 0.716 0.161  0.54
Np 0.000 0.000 0.000  -0.31
Zn 0.750 0.250 0.500  0.01
Zn 0.500 0.500 0.000  0.11
Ca 0.250 0.750 0.500  0.06

=====

No. 5
Computed, not measured: CaNpZn2O6 after structural relaxation at the PBE level of DFT.

Calculated values
raw total energy	-7.004	eV/atom
energy relative to the elements, uncorrected	-2.28	eV/atom

Cell lengths 5.578, 5.578, 5.919 Å; angles 61.90, 61.89, 60.00 degrees
Site moments in Bohr magnetons follow the coordinates.
Atoms (fractional coordinates):
O 0.927 0.521 0.306  -0.04
O 0.245 0.927 0.307  -0.04
O 0.387 0.705 0.796  -0.04
O 0.112 0.387 0.796  -0.04
O 0.705 0.111 0.796  -0.04
O 0.521 0.245 0.306  -0.04
Ca 0.816 0.816 0.551  0.00
Np 0.316 0.316 0.052  1.23
Zn 0.532 0.532 0.403  -0.01
Zn 0.100 0.099 0.701  -0.01

=====

No. 6
Computed, not measured: CaNp2ZnO8 after structural relaxation at the PBE level of DFT.

Calculated values
raw total energy	-8.338	eV/atom
energy relative to the elements, uncorrected	-2.60	eV/atom

Cell lengths 4.906, 4.906, 6.943 Å; angles 90.00, 90.00, 87.04 degrees
Site moments in Bohr magnetons follow the coordinates.
Atoms (fractional coordinates):
O 0.684 0.685 0.000  -0.06
O 0.790 0.211 0.769  -0.04
O 0.316 0.315 0.000  -0.06
O 0.324 0.323 0.500  -0.05
O 0.676 0.677 0.500  -0.05
O 0.210 0.789 0.769  -0.04
O 0.790 0.211 0.231  -0.04
O 0.210 0.789 0.231  -0.04
Np 0.500 0.500 0.755  1.20
Np 0.500 0.500 0.245  1.20
Ca 0.000 0.000 0.500  0.00
Zn 0.000 0.000 0.000  -0.01